No. 1
! NaTl2Te4As | Alexandria | PBE-GGA | optimized geometry; values from VASP
! Space group ... Imma (74)
! Raw formation energy ... -0.225 eV per atom
&SYSTEM
  ibrav = 0, nat = 16, ntyp = 4
/
ATOMIC_SPECIES
Na 22.99 Na.upf
Tl 204.38 Tl.upf
Te 127.60 Te.upf
As 74.92 As.upf
CELL_PARAMETERS angstrom
-3.769 -7.702 2.343
6.376 -1.332 6.049
-4.793 7.608 0.044
ATOMIC_POSITIONS crystal
Na 0.000 0.500 0.000
Na 0.000 0.500 0.500
Tl 0.500 0.000 0.000
Tl 0.500 0.000 0.500
Tl 0.000 0.000 0.500
Tl 0.500 0.500 0.000
Te 0.238 0.767 0.003
Te 0.733 0.262 0.497
Te 0.267 0.738 0.503
Te 0.762 0.233 0.997
Te 0.752 0.748 0.970
Te 0.752 0.748 0.530
Te 0.248 0.252 0.470
Te 0.248 0.252 0.030
As 0.500 0.500 0.500
As 0.000 0.000 0.000

No. 2
! LuThCoAg | Alexandria | PBE-GGA | optimized geometry; values from VASP
! Energy ... -5.59 eV per atom
! Space group ... F-43m (216)
&SYSTEM
  ibrav = 0, nat = 4, ntyp = 4
/
ATOMIC_SPECIES
Lu 174.97 Lu.upf
Co 58.93 Co.upf
Ag 107.87 Ag.upf
Th 232.04 Th.upf
CELL_PARAMETERS angstrom
-0.245 -4.988 0.058
2.840 -2.603 3.179
-2.100 -2.352 3.874
ATOMIC_POSITIONS crystal
Lu 0.500 0.500 0.500
Co 0.750 0.750 0.750
Ag 0.250 0.250 0.250
Th 0.000 0.000 0.000

No. 3
! Mo4PPt | Alexandria | PBE-GGA | optimized geometry; values from VASP
! Energy ... -8.58 eV per atom
! Space group ... F-43m (216)
&SYSTEM
  ibrav = 0, nat = 6, ntyp = 3
/
ATOMIC_SPECIES
Mo 95.94 Mo.upf
P 30.97 P.upf
Pt 195.08 Pt.upf
CELL_PARAMETERS angstrom
3.678 -3.327 1.500
0.100 -1.720 4.886
-1.229 -4.925 1.039
ATOMIC_POSITIONS crystal
Mo 0.875 0.375 0.375
Mo 0.375 0.375 0.875
Mo 0.375 0.875 0.375
Mo 0.375 0.375 0.375
P 0.750 0.750 0.750
Pt 0.000 0.000 0.000